{"formula": "Na2Ni2BiO6", "functional": "GGA+U", "state": "relaxed", "spacegroup": "C2/m (12)", "magnetic_moment_mub_per_cell": 3.0, "energy_ev_per_cell": -53.8, "n_ef_per_ev_cell": 3.788, "lattice_angstrom": [[5.356, 0.035, 0.003], [-2.617, 4.674, 0.003], [-1.024, -1.760, 5.576]], "species": ["Na", "Ni", "Bi", "O", "O", "O", "O", "O", "Na", "O", "Ni"], "frac_coords": [[0.175, 0.825, 0.000], [0.334, 0.666, 0.500], [0.000, 0.000, 0.500], [0.272, 0.272, 0.308], [0.948, 0.595, 0.301], [0.728, 0.728, 0.692], [0.595, 0.948, 0.301], [0.052, 0.405, 0.699], [0.825, 0.175, 0.000], [0.405, 0.052, 0.699], [0.666, 0.334, 0.500]]}